a:
The following is a PBE-GGA calculation of a relaxed Sc2TiNb crystal, from Alexandria.

## Properties
The space-group type is R3m (160). The value obtained for the density of states at the Fermi level is 6.0 states/eV/f.u. The crystal system is trigonal.

Unit cell a=3.064 b=3.064 c=10.204 alpha=81.36 beta=81.36 gamma=60.00
Atoms (fractional coordinates):
Sc  0.083  0.083  0.752
Sc  0.251  0.251  0.247
Nb  0.500  0.500  0.499
Ti  0.666  0.666  0.001



b:
The following is a PBE-GGA calculation of a relaxed Sc2TiNb crystal, from Alexandria.

## Properties
The space-group type is I-42d (122). The value obtained for the density of states at the Fermi level is 2.9 states/eV/f.u. The crystal system is tetragonal.

Unit cell a=7.552 b=7.552 c=6.085 alpha=51.64 beta=51.64 gamma=90.00
Atoms (fractional coordinates):
Ti  0.500  0.500  0.000
Ti  0.250  0.750  0.500
Sc  0.130  0.625  0.250
Sc  0.375  0.380  0.750
Sc  0.620  0.125  0.250
Sc  0.875  0.870  0.750
Nb  0.000  0.000  0.000
Nb  0.750  0.250  0.500



c:
The following is a PBE-GGA calculation of a relaxed Sc2TiNb crystal, from Alexandria.

## Properties
The space-group type is Fm-3m (225). The value obtained for the density of states at the Fermi level is 6.4 states/eV/f.u. The crystal system is cubic.

Unit cell a=4.857 b=4.857 c=4.857 alpha=60.00 beta=60.00 gamma=60.00
Atoms (fractional coordinates):
Ti  0.000  0.000  0.000
Sc  0.250  0.250  0.250
Sc  0.750  0.750  0.750
Nb  0.500  0.500  0.500



Out of the structures above, which one is the least stable? Solution: b.